Entry 1:
A plane-wave DFT calculation with PBE was carried out for TaCd2SiPt after structural relaxation.

The structure in POSCAR format:
```
TaCd2SiPt
1.0
-2.730 0.729 -4.216
3.183 -2.810 -2.548
-2.768 -4.115 1.080
Ta Cd Pt Si
1 2 1 1
direct
0.000 0.500 0.000
0.500 0.000 0.000
0.000 0.000 0.500
0.000 0.000 0.000
0.500 0.500 0.500
```

Properties
SG	P4/mmm, No. 123
raw formation energy	872.9	meV/atom
E_tot	-4.156	eV per atom
magnetization	0.24	μB per formula unit
calculated density	8.19	g cm⁻³



Entry 2:
A plane-wave DFT calculation with PBE was carried out for HfV3As after structural relaxation.

The structure in POSCAR format:
```
HfV3As
1.0
4.503 0.000 0.000
0.000 4.503 0.000
0.000 0.000 4.503
V As Hf
3 1 1
direct
0.500 0.000 0.000
0.000 0.000 0.500
0.000 0.500 0.000
0.000 0.000 0.000
0.500 0.500 0.500
```

Properties
SG	Pm-3m, No. 221
E_tot	-7.930	eV per atom
magnetization	0.98	μB per formula unit
energy above the most stable polymorph in this dataset	789.2	meV per atom
energy of formation from the pure elements	223	kJ/mol of formula units
calculated density	7.39	g cm⁻³



Entry 3:
A plane-wave DFT calculation with PBE was carried out for LiAcLa2 after structural relaxation.

The structure in POSCAR format:
```
LiAcLa2
1.0
5.903 0.000 0.000
2.951 5.112 0.000
2.951 1.704 4.819
La Li Ac
2 1 1
direct
0.750 0.750 0.750
0.250 0.250 0.250
0.500 0.500 0.500
0.000 0.000 0.000
```

Properties
SG	Fm-3m, No. 225
E_tot	-3.780	eV per atom
magnetization	0.00	μB per formula unit
energy above the most stable polymorph in this dataset	134.6	meV per atom
energy of formation from the pure elements	73	kJ/mol of formula units
calculated density	5.84	g cm⁻³



Entry 4:
A plane-wave DFT calculation with PBE was carried out for TbTmLu2 after structural relaxation.

The structure in POSCAR format:
```
TbTmLu2
1.0
3.487 0.000 0.000
0.000 3.487 0.000
0.000 0.000 9.855
Lu Tb Tm
2 1 1
direct
0.000 0.000 0.752
0.000 0.000 0.248
0.500 0.500 0.500
0.500 0.500 0.000
```

Properties
SG	P4/mmm, No. 123
E_tot	-4.506	eV per atom
magnetization	0.00	μB per formula unit
energy above the most stable polymorph in this dataset	0.0	meV per atom
energy of formation from the pure elements	12	kJ/mol of formula units
calculated density	9.39	g cm⁻³



Entry 5:
A plane-wave DFT calculation with PBE was carried out for KRb2Ca after structural relaxation.

The structure in POSCAR format:
```
KRb2Ca
1.0
4.804 0.000 0.000
0.000 7.614 0.000
0.000 0.000 7.614
Ca K Rb
1 1 2
direct
0.500 0.000 0.000
0.500 0.500 0.500
0.000 0.500 0.000
0.000 0.000 0.500
```

Properties
SG	P4/mmm, No. 123
E_tot	-1.088	eV per atom
magnetization	0.00	μB per formula unit
energy above the most stable polymorph in this dataset	30.6	meV per atom
energy of formation from the pure elements	66	kJ/mol of formula units
calculated density	1.49	g cm⁻³



Entry 6:
A plane-wave DFT calculation with PBE was carried out for Tl2CuW after structural relaxation.

The structure in POSCAR format:
```
Tl2CuW
1.0
-4.891 -1.600 2.491
-2.722 -2.437 4.398
-1.512 3.564 3.283
W Tl Cu
1 2 1
direct
0.525 0.525 0.550
0.989 0.989 0.065
0.770 0.770 0.674
0.215 0.215 0.212
```

Properties
SG	Cm, No. 8
E_tot	-4.702	eV per atom
magnetization	0.00	μB per formula unit
energy above the most stable polymorph in this dataset	100.4	meV per atom
energy of formation from the pure elements	287	kJ/mol of formula units
calculated density	13.83	g cm⁻³



Entry 7:
A plane-wave DFT calculation with PBE was carried out for BiTe2NO after structural relaxation.

The structure in POSCAR format:
```
BiTe2NO
1.0
4.539 0.000 0.000
0.000 4.539 0.000
0.000 0.000 5.195
O N Bi Te
1 1 1 2
direct
0.000 0.000 0.000
0.000 0.000 0.500
0.500 0.500 0.500
0.000 0.500 0.000
0.500 0.000 0.000
```

Properties
SG	P4/mmm, No. 123
raw formation energy	932.8	meV/atom
E_tot	-3.757	eV per atom
magnetization	1.88	μB per formula unit
energy above the most stable polymorph in this dataset	0.0	meV per atom
calculated density	7.67	g cm⁻³



Entry 8:
A plane-wave DFT calculation with PBE was carried out for Ac8Ir3Pt3O after structural relaxation.

The structure in POSCAR format:
```
Ac8Ir3Pt3O
1.0
8.598 0.000 0.000
-4.299 7.446 -0.026
0.000 -4.939 7.123
Ir Pt O Ac
3 3 1 8
direct
0.000 0.500 0.500
0.500 0.500 0.500
0.500 0.000 0.500
0.500 0.500 0.000
0.000 0.000 0.000
0.000 0.500 0.000
0.000 0.000 0.500
0.764 0.007 0.271
0.757 0.993 0.729
0.253 0.505 0.258
0.236 0.993 0.729
0.243 0.007 0.271
0.764 0.529 0.272
0.747 0.495 0.742
0.236 0.471 0.728
```

Properties
SG	R-3m, No. 166
raw formation energy	-1048.1	meV/atom
E_tot	-6.550	eV per atom
magnetization	0.00	μB per formula unit
calculated density	10.93	g cm⁻³



Entry 9:
A plane-wave DFT calculation with PBE was carried out for Li2ThCo9 after structural relaxation.

The structure in POSCAR format:
```
Li2ThCo9
1.0
-0.599 4.702 0.441
-3.734 0.197 -7.180
-7.110 -1.250 3.664
Co Li Th
18 4 2
direct
0.500 0.067 0.214
0.239 0.180 0.680
0.500 0.433 0.714
0.500 0.000 0.500
0.761 0.680 0.820
0.500 0.214 0.933
0.239 0.820 0.320
0.239 0.680 0.820
0.500 0.786 0.067
0.500 0.714 0.567
0.761 0.820 0.320
0.761 0.180 0.680
0.239 0.320 0.180
0.761 0.320 0.180
0.500 0.933 0.786
0.500 0.500 0.000
0.500 0.567 0.286
0.500 0.286 0.433
0.000 0.387 0.887
0.000 0.613 0.113
0.000 0.887 0.613
0.000 0.113 0.387
0.000 0.500 0.500
0.000 0.000 0.000
```

Properties
SG	P4/mbm, No. 127
E_tot	-6.286	eV per atom
magnetization	11.76	μB per formula unit
energy of formation from the pure elements	-23	kJ/mol of formula units
calculated density	8.27	g cm⁻³



Entry 10:
A plane-wave DFT calculation with PBE was carried out for PmSb2F8 after structural relaxation.

The structure in POSCAR format:
```
PmSb2F8
1.0
5.001 0.146 -0.249
0.431 5.851 -4.318
-0.399 -0.680 7.219
F Sb Pm
8 2 1
direct
0.703 0.884 0.117
0.769 0.369 0.185
0.231 0.631 0.815
0.297 0.116 0.883
0.770 0.816 0.631
0.946 0.280 0.723
0.230 0.184 0.369
0.054 0.720 0.277
0.339 0.281 0.720
0.661 0.719 0.280
0.000 0.000 0.000
```

Properties
SG	P-1, No. 2
raw formation energy	-2758.1	meV/atom
E_tot	-5.300	eV per atom
magnetization	0.00	μB per formula unit
energy above the most stable polymorph in this dataset	0.0	meV per atom
calculated density	4.58	g cm⁻³



Entry 11:
A plane-wave DFT calculation with PBE was carried out for Ac2AlGa3Cu4 after structural relaxation.

The structure in POSCAR format:
```
Ac2AlGa3Cu4
1.0
-1.793 2.089 -3.418
-3.886 -1.817 0.928
-2.282 7.984 6.076
Ac Ga Cu Al
2 3 4 1
direct
0.000 0.500 0.758
0.500 0.000 0.242
0.000 0.000 0.500
0.000 0.500 0.123
0.500 0.000 0.877
0.500 0.000 0.629
0.000 0.500 0.371
0.000 0.000 0.000
0.500 0.500 0.000
0.500 0.500 0.500
```

Properties
SG	P-4m2, No. 115
E_tot	-4.127	eV per atom
magnetization	0.00	μB per formula unit
energy of formation from the pure elements	-371	kJ/mol of formula units
calculated density	7.91	g cm⁻³



Entry 12:
A plane-wave DFT calculation with PBE was carried out for Y3NbTl after structural relaxation.

The structure in POSCAR format:
```
Y3NbTl
1.0
5.657 0.000 0.000
0.000 5.657 0.000
0.000 0.000 5.657
Tl Y Nb
1 3 1
direct
0.000 0.000 0.000
0.000 0.500 0.000
0.500 0.000 0.000
0.000 0.000 0.500
0.500 0.500 0.500
```

Properties
SG	Pm-3m, No. 221
E_tot	-5.405	eV per atom
magnetization	4.52	μB per formula unit
energy above the most stable polymorph in this dataset	474.4	meV per atom
energy of formation from the pure elements	464	kJ/mol of formula units
calculated density	5.17	g cm⁻³



Entry 13:
A plane-wave DFT calculation with PBE was carried out for YErCoRh after structural relaxation.

The structure in POSCAR format:
```
YErCoRh
1.0
4.778 0.000 0.000
2.389 4.138 0.000
2.389 1.379 3.902
Rh Co Y Er
1 1 1 1
direct
0.000 0.000 0.000
0.500 0.500 0.500
0.750 0.750 0.750
0.250 0.250 0.250
```

Properties
SG	F-43m, No. 216
E_tot	-6.877	eV per atom
magnetization	0.53	μB per formula unit
energy of formation from the pure elements	-195	kJ/mol of formula units
calculated density	9.00	g cm⁻³



Entry 14:
A plane-wave DFT calculation with PBE was carried out for Li3Cd6Pd after structural relaxation.

The structure in POSCAR format:
```
Li3Cd6Pd
1.0
-0.738 7.254 0.902
-5.436 -1.274 4.776
4.979 -0.292 5.395
Pd Cd Li
2 12 6
direct
0.500 0.500 0.500
0.000 0.000 0.000
0.843 0.523 0.387
0.613 0.157 0.477
0.477 0.613 0.157
0.144 0.371 0.043
0.957 0.856 0.629
0.629 0.957 0.856
0.371 0.043 0.144
0.856 0.629 0.957
0.387 0.843 0.523
0.157 0.477 0.613
0.043 0.144 0.371
0.523 0.387 0.843
0.744 0.878 0.255
0.745 0.256 0.122
0.122 0.745 0.256
0.878 0.255 0.744
0.256 0.122 0.745
0.255 0.744 0.878
```

Properties
SG	R-3, No. 148
E_tot	-1.849	eV per atom
magnetization	0.00	μB per formula unit
energy above the most stable polymorph in this dataset	27.2	meV per atom
energy of formation from the pure elements	-199	kJ/mol of formula units
calculated density	6.72	g cm⁻³



Entry 15:
A plane-wave DFT calculation with PBE was carried out for LiZrSb2Te after structural relaxation.

The structure in POSCAR format:
```
LiZrSb2Te
1.0
-4.710 0.651 -1.032
-1.060 -4.221 2.176
-0.651 2.510 4.551
Sb Li Te Zr
2 1 1 1
direct
0.000 0.500 0.000
0.500 0.000 0.000
0.000 0.000 0.000
0.000 0.000 0.500
0.500 0.500 0.500
```

Properties
SG	P4/mmm, No. 123
raw formation energy	293.6	meV/atom
E_tot	-4.076	eV per atom
magnetization	0.02	μB per formula unit
energy above the most stable polymorph in this dataset	351.4	meV per atom
calculated density	6.28	g cm⁻³



Entry 16:
A plane-wave DFT calculation with PBE was carried out for Er2Te2O after structural relaxation.

The structure in POSCAR format:
```
Er2Te2O
1.0
3.923 0.000 0.000
1.962 6.719 -0.246
1.962 -0.052 9.331
Er Te O
4 4 2
direct
0.116 0.197 0.570
0.642 0.891 0.826
0.358 0.109 0.174
0.884 0.803 0.430
0.640 0.388 0.331
0.073 0.763 0.091
0.360 0.612 0.669
0.927 0.237 0.909
0.675 0.038 0.611
0.325 0.962 0.389
```

Properties
SG	C2/m, No. 12
raw formation energy	-2084.8	meV/atom
E_tot	-6.158	eV per atom
magnetization	0.00	μB per formula unit
energy above the most stable polymorph in this dataset	0.0	meV per atom
calculated density	8.18	g cm⁻³